# Tb6Pm2PrNd | the Alexandria database | PBE | optimized geometry
data_Tb6Pm2PrNd
_space_group_name_H-M_alt 'C 1 2/c 1'
_space_group_IT_number 15
_cell_length_a 9.506
_cell_length_b 15.620
_cell_length_c 9.033
_cell_angle_alpha 90.00
_cell_angle_beta 90.17
_cell_angle_gamma 90.00
loop_
_space_group_symop_operation_xyz
'x,y,z'
'-x,-y,-z'
'-x,y,-z+1/2'
'x,-y,z+1/2'
'x+1/2,y+1/2,z'
'-x+1/2,-y+1/2,-z'
'-x+1/2,y+1/2,-z+1/2'
'x+1/2,-y+1/2,z+1/2'
loop_
_atom_site_label
_atom_site_fract_x
_atom_site_fract_y
_atom_site_fract_z
Tb1 0.074 0.150 0.422
Tb2 0.075 0.351 0.581
Tb3 0.249 0.221 0.817
Pm1 0.250 0.052 0.067
Pr1 0.000 0.436 0.250
Nd1 0.000 0.063 0.750
# energy relative to the elements = 1.3 eV per formula unit

# Ba2LiPd6Pb | the Alexandria database | PBE | optimized geometry
data_Ba2LiPd6Pb
_space_group_name_H-M_alt 'P -1'
_space_group_IT_number 2
_cell_length_a 6.748
_cell_length_b 6.784
_cell_length_c 6.785
_cell_angle_alpha 61.95
_cell_angle_beta 62.17
_cell_angle_gamma 62.12
loop_
_space_group_symop_operation_xyz
'x,y,z'
'-x,-y,-z'
loop_
_atom_site_label
_atom_site_fract_x
_atom_site_fract_y
_atom_site_fract_z
Ba1 0.194 0.194 0.195
Li1 0.000 0.000 0.000
Pd1 0.158 0.313 0.622
Pd2 0.315 0.623 0.157
Pd3 0.376 0.842 0.685
Pb1 0.500 0.500 0.500
# energy relative to the elements = -4.0 eV per formula unit

# Mg2Cd3Bi | the Alexandria database | PBE | optimized geometry
data_Mg2Cd3Bi
_space_group_name_H-M_alt 'C 1 2/m 1'
_space_group_IT_number 12
_cell_length_a 13.967
_cell_length_b 4.487
_cell_length_c 10.671
_cell_angle_alpha 90.00
_cell_angle_beta 119.07
_cell_angle_gamma 90.00
loop_
_space_group_symop_operation_xyz
'x,y,z'
'-x,-y,-z'
'-x,y,-z'
'x,-y,z'
'x+1/2,y+1/2,z'
'-x+1/2,-y+1/2,-z'
'-x+1/2,y+1/2,-z'
'x+1/2,-y+1/2,z'
loop_
_atom_site_label
_atom_site_fract_x
_atom_site_fract_y
_atom_site_fract_z
Mg1 0.025 0.000 0.353
Mg2 0.194 0.500 0.357
Cd1 0.046 0.500 0.883
Cd2 0.114 0.000 0.124
Cd3 0.211 0.000 0.888
Bi1 0.143 0.500 0.610
# energy relative to the elements = -0.3 eV per formula unit

# Tb3Pr6Dy2Er | the Alexandria database | PBE | optimized geometry
data_Tb3Pr6Dy2Er
_space_group_name_H-M_alt 'C 1 2/m 1'
_space_group_IT_number 12
_cell_length_a 6.310
_cell_length_b 10.929
_cell_length_c 11.902
_cell_angle_alpha 90.00
_cell_angle_beta 100.15
_cell_angle_gamma 90.00
loop_
_space_group_symop_operation_xyz
'x,y,z'
'-x,-y,-z'
'-x,y,-z'
'x,-y,z'
'x+1/2,y+1/2,z'
'-x+1/2,-y+1/2,-z'
'-x+1/2,y+1/2,-z'
'x+1/2,-y+1/2,z'
loop_
_atom_site_label
_atom_site_fract_x
_atom_site_fract_y
_atom_site_fract_z
Tb1 0.000 0.000 0.000
Tb2 0.000 0.333 0.000
Pr1 0.250 0.000 0.749
Pr2 0.250 0.167 0.251
Dy1 0.000 0.167 0.500
Er1 0.000 0.500 0.500
# energy relative to the elements = 0.1 eV per formula unit

# SrHg5Pd2 | the Alexandria database | PBE | optimized geometry
data_SrHg5Pd2
_space_group_name_H-M_alt 'I m m m'
_space_group_IT_number 71
_space_group_name_Hall '-I 2 2'
_cell_length_a 4.129
_cell_length_b 8.557
_cell_length_c 10.903
_cell_angle_alpha 90.00
_cell_angle_beta 90.00
_cell_angle_gamma 90.00
loop_
_atom_site_label
_atom_site_fract_x
_atom_site_fract_y
_atom_site_fract_z
Sr1 0.000 0.000 0.000
Hg1 0.000 0.202 0.353
Hg2 0.000 0.500 0.000
Pd1 0.000 0.500 0.257
# energy relative to the elements = -2.1 eV per formula unit

# PmHgCl3 | the Alexandria database | PBE | optimized geometry
data_PmHgCl3
_space_group_name_H-M_alt 'P m -3 m'
_space_group_IT_number 221
_space_group_name_Hall '-P 4 2 3'
_cell_length_a 5.483
_cell_length_b 5.483
_cell_length_c 5.483
_cell_angle_alpha 90.00
_cell_angle_beta 90.00
_cell_angle_gamma 90.00
loop_
_atom_site_label
_atom_site_fract_x
_atom_site_fract_y
_atom_site_fract_z
Pm1 0.000 0.000 0.000
Hg1 0.500 0.500 0.500
Cl1 0.000 0.000 0.500
# uncorrected formation energy = -831 kJ/mol of formula units

# HfBeSb2As | the Alexandria database | PBE | optimized geometry
data_HfBeSb2As
_space_group_name_H-M_alt 'P 4/m m m'
_space_group_IT_number 123
_space_group_name_Hall '-P 4 2'
_cell_length_a 5.140
_cell_length_b 5.140
_cell_length_c 4.112
_cell_angle_alpha 90.00
_cell_angle_beta 90.00
_cell_angle_gamma 90.00
loop_
_atom_site_label
_atom_site_fract_x
_atom_site_fract_y
_atom_site_fract_z
Hf1 0.000 0.000 0.000
Be1 0.500 0.500 0.500
Sb1 0.000 0.500 0.500
As1 0.500 0.500 0.000
# uncorrected formation energy = 216 kJ/mol of formula units

# Nd2Pu2Se5 | the Alexandria database | PBE | optimized geometry
data_Nd2Pu2Se5
_space_group_name_H-M_alt 'C m c e'
_space_group_IT_number 64
_space_group_name_Hall '-C 2ac 2'
_cell_length_a 14.739
_cell_length_b 7.896
_cell_length_c 7.972
_cell_angle_alpha 90.00
_cell_angle_beta 90.00
_cell_angle_gamma 90.00
loop_
_atom_site_label
_atom_site_fract_x
_atom_site_fract_y
_atom_site_fract_z
Nd1 0.000 0.154 0.156
Pu1 0.198 0.000 0.500
Se1 0.000 0.000 0.500
Se2 0.140 0.158 0.847
# uncorrected formation energy = -1433 kJ/mol of formula units

# NbCu2Rh3 | the Alexandria database | PBE | optimized geometry
data_NbCu2Rh3
_space_group_name_H-M_alt 'C m m m'
_space_group_IT_number 65
_space_group_name_Hall '-C 2 2'
_cell_length_a 4.415
_cell_length_b 13.222
_cell_length_c 5.854
_cell_angle_alpha 90.00
_cell_angle_beta 90.00
_cell_angle_gamma 90.00
loop_
_atom_site_label
_atom_site_fract_x
_atom_site_fract_y
_atom_site_fract_z
Nb1 0.000 0.158 0.000
Cu1 0.000 0.169 0.500
Cu2 0.000 0.500 0.000
Cu3 0.000 0.500 0.500
Rh1 0.000 0.000 0.264
Rh2 0.000 0.332 0.255
# energy relative to the elements = -1.4 eV per formula unit

# Ho3Si2Ni9Sn | the Alexandria database | PBE | optimized geometry
data_Ho3Si2Ni9Sn
_space_group_name_H-M_alt 'P -3 m 1'
_space_group_IT_number 164
_space_group_name_Hall '-P 3 2"'
_cell_length_a 5.8298
_cell_length_b 5.8298
_cell_length_c 8.9150
_cell_angle_alpha 90.00
_cell_angle_beta 90.00
_cell_angle_gamma 120.00
loop_
_atom_site_label
_atom_site_fract_x
_atom_site_fract_y
_atom_site_fract_z
Ho1 0.0000 0.0000 0.0000
Ho2 0.3333 0.6667 0.7184
Si1 0.3333 0.6667 0.1686
Ni1 0.0000 0.5000 0.0000
Ni2 0.1394 0.2788 0.2660
Sn1 0.0000 0.0000 0.5000
# uncorrected formation energy = -411 kJ/mol of formula units

# Pa4Ge3Pt | the Alexandria database | PBE | optimized geometry
data_Pa4Ge3Pt
_space_group_name_H-M_alt 'P m m 2'
_space_group_IT_number 25
_cell_length_a 4.058
_cell_length_b 4.160
_cell_length_c 10.813
_cell_angle_alpha 90.00
_cell_angle_beta 90.00
_cell_angle_gamma 90.00
loop_
_space_group_symop_operation_xyz
'x,y,z'
'-x,-y,z'
'-x,y,z'
'x,-y,z'
loop_
_atom_site_label
_atom_site_fract_x
_atom_site_fract_y
_atom_site_fract_z
Pa1 0.000 0.000 0.000
Pa2 0.000 0.500 0.278
Pa3 0.500 0.000 0.499
Pa4 0.500 0.500 0.780
Ge1 0.000 0.500 0.553
Ge2 0.500 0.000 0.230
Ge3 0.500 0.500 0.048
Pt1 0.000 0.000 0.723
# energy relative to the elements = -4.4 eV per formula unit

# AcSmCo2 | the Alexandria database | PBE | optimized geometry
data_AcSmCo2
_space_group_name_H-M_alt 'P 4/m m m'
_space_group_IT_number 123
_space_group_name_Hall '-P 4 2'
_cell_length_a 3.544
_cell_length_b 3.544
_cell_length_c 7.054
_cell_angle_alpha 90.00
_cell_angle_beta 90.00
_cell_angle_gamma 90.00
loop_
_atom_site_label
_atom_site_fract_x
_atom_site_fract_y
_atom_site_fract_z
Ac1 0.000 0.000 0.000
Sm1 0.000 0.000 0.500
Co1 0.500 0.500 0.271
# energy relative to the elements = 0.5 eV per formula unit

The following raw total energy values (in eV/f.u.) correspond, in order, to the records above: -45.6, -44.7, -10.1, -56.2, -15.7, -19.2, -24.3, -70.5, -41.7, -84.9, -62.2, -22.5.
The following DOS at the Fermi energy values (in states/eV per atom) correspond, in order, to the records above: 1.271, 0.552, 0.309, 1.119, 0.347, 0.000, 0.776, 2.600, 0.832, 0.665, 1.599, 0.708.